1.
A relaxed structure of Cd2ReMo. Source: the Alexandria database, functional GGA-PBE.

Properties
The formation energy is 515 meV per atom. As for the magnetization: 0.00 μB per formula unit. As for the density of states at the Fermi level: 4.6 states/eV per cell. The value obtained for the volume is 18.42 A^3/atom. For the calculated total energy, the calculation gives -5.76 eV/atom.

a = 3.2494 Å, b = 4.8807 Å, c = 9.2925 Å
α = 90.00°, β = 90.00°, γ = 90.00°
With the nearest neighbours (Å) after each atom.
Space group Imm2 (No. 44)
One atom of each set of equivalent atoms:
Cd 0.0000 0.0000 0.0000 [2 per cell]  4 Re 2.95, 6 Cd 2.97-3.26, 4 Mo 2.99-3.24
Cd 0.0000 0.5000 0.2325 [2 per cell]  4 Mo 2.95, 4 Re 2.96-3.27, 6 Cd 2.97-3.26
Re 0.0000 0.0000 0.4661 [2 per cell]  2 Mo 2.44
Mo 0.0000 0.5000 0.7701 [2 per cell]  2 Re 2.44

---

2.
A relaxed structure of Cd2ReMo. Source: the Alexandria database, functional GGA-PBE.

Properties
The formation energy is 519 meV per atom. As for the magnetization: 0.00 μB per formula unit. As for the density of states at the Fermi level: 5.7 states/eV per cell. The value obtained for the volume is 17.63 A^3/atom. For the calculated total energy, the calculation gives -5.76 eV/atom.

a = 9.4063 Å, b = 2.7842 Å, c = 5.4109 Å
α = 90.00°, β = 95.43°, γ = 90.00°
With the nearest neighbours (Å) after each atom.
Space group Cm (No. 8)
One atom of each set of equivalent atoms:
Cd 0.0000 0.0000 0.0000 [2 per cell]  5 Cd 2.74-2.92, 2 Re 2.94, 3 Mo 2.98-3.03
Cd 0.2477 0.0000 0.7721 [2 per cell]  5 Cd 2.74-2.92, 2 Mo 2.94, 3 Re 3.00-3.01
Re 0.0031 0.5000 0.4795 [2 per cell]  3 Mo 2.60-2.87, 2 Re 2.78
Mo 0.2480 0.5000 0.2934 [2 per cell]  3 Re 2.60-2.87, 2 Mo 2.78

---

3.
A relaxed structure of CdRe2Mo. Source: the Alexandria database, functional GGA-PBE.

Properties
The formation energy is 493 meV per atom. As for the magnetization: 0.00 μB per formula unit. As for the density of states at the Fermi level: 2.8 states/eV per cell. The value obtained for the volume is 16.25 A^3/atom. For the calculated total energy, the calculation gives -8.67 eV/atom.

a = 2.7181 Å, b = 4.5007 Å, c = 5.4122 Å
α = 90.00°, β = 100.94°, γ = 90.00°
With the nearest neighbours (Å) after each atom.
Space group P2/m (No. 10)
One atom of each set of equivalent atoms:
Cd 0.0000 0.0000 0.0000 [1 per cell]  2 Cd 2.72, 2 Mo 2.79, 4 Re 2.83
Re 0.2909 0.5000 0.7451 [2 per cell]  4 Re 2.72-2.82, 2 Mo 2.73, 2 Cd 2.83
Mo 0.5000 0.0000 0.5000 [1 per cell]  2 Mo 2.72, 4 Re 2.73, 2 Cd 2.79

---

- Which value of calculated total energy does entry 2 give?
  -5.76 eV/atom

---

- Which value of calculated total energy does entry 1 give?
  -5.76 eV/atom

---

Copy entry 1 word for word.
A relaxed structure of Cd2ReMo. Source: the Alexandria database, functional GGA-PBE.

Properties
The formation energy is 515 meV per atom. As for the magnetization: 0.00 μB per formula unit. As for the density of states at the Fermi level: 4.6 states/eV per cell. The value obtained for the volume is 18.42 A^3/atom. For the calculated total energy, the calculation gives -5.76 eV/atom.

a = 3.2494 Å, b = 4.8807 Å, c = 9.2925 Å
α = 90.00°, β = 90.00°, γ = 90.00°
With the nearest neighbours (Å) after each atom.
Space group Imm2 (No. 44)
One atom of each set of equivalent atoms:
Cd 0.0000 0.0000 0.0000 [2 per cell]  4 Re 2.95, 6 Cd 2.97-3.26, 4 Mo 2.99-3.24
Cd 0.0000 0.5000 0.2325 [2 per cell]  4 Mo 2.95, 4 Re 2.96-3.27, 6 Cd 2.97-3.26
Re 0.0000 0.0000 0.4661 [2 per cell]  2 Mo 2.44
Mo 0.0000 0.5000 0.7701 [2 per cell]  2 Re 2.44